# ReIrBr

An optimized crystal structure of ReIrBr (PBE, Alexandria).

Values from the calculation:
Total magnetization, μB/f.u.: 0.00
SG: I4mm, No. 107
Energy above the most stable polymorph in this dataset, meV per atom: 23
DFT total energy, eV per cell: -20.89
V, Å³/f.u.: 54.6

Cell and atoms, written as POSCAR:
```
ReIrBr
1.0
-1.471 1.471 6.307
1.471 -1.471 6.307
1.471 1.471 -6.307
Re Ir Br
1 1 1
Cartesian
0.000 0.000 0.000 Re
0.000 0.000 4.733 Ir
0.000 0.000 8.162 Br
```



# Tb5Dy8Tl

An optimized crystal structure of Tb5Dy8Tl (PBE, Alexandria).

Values from the calculation:
Total magnetization, μB/f.u.: 0.00
SG: I-4, No. 82
DFT total energy, eV per cell: -59.14
Calculated formation energy, eV per atom: 0.23
V, Å³/f.u.: 459.5

Cell and atoms, written as POSCAR:
```
Tb5Dy8Tl
1.0
-4.966 4.966 4.659
4.966 -4.966 4.659
4.966 4.966 -4.659
Tb Dy Tl
5 8 1
Cartesian
0.000 0.000 0.000 Tb
1.767 -0.778 3.657 Tb
4.188 3.199 1.002 Tb
3.199 5.744 -1.002 Tb
0.778 1.767 5.661 Tb
3.642 2.783 -2.283 Dy
3.355 -0.429 0.755 Dy
6.577 0.429 0.755 Dy
5.395 -1.611 3.904 Dy
1.324 2.182 2.376 Dy
4.536 1.611 3.904 Dy
2.182 -1.324 6.942 Dy
2.783 6.290 2.283 Dy
0.000 4.966 2.330 Tl
```



# Sr2SmCuO5

An optimized crystal structure of Sr2SmCuO5 (PBE, Alexandria).

Values from the calculation:
Total magnetization, μB/f.u.: 2.03
SG: I4/mcm, No. 140
DFT total energy, eV per cell: -111.25
V, Å³/f.u.: 126.1

Cell and atoms, written as POSCAR:
```
Sr2SmCuO5
1.0
-3.287 3.287 5.834
3.287 -3.287 5.834
3.287 3.287 -5.834
Sr Sm Cu O
4 2 2 10
Cartesian
4.369 1.082 0.000 Sr
1.082 2.205 0.000 Sr
2.205 1.082 5.834 Sr
-1.082 2.205 5.834 Sr
0.000 0.000 2.917 Sm
0.000 0.000 8.752 Sm
3.287 0.000 2.917 Cu
0.000 3.287 2.917 Cu
0.000 0.000 0.000 O
2.250 1.036 -1.745 O
2.250 -1.036 4.090 O
2.250 1.036 1.745 O
2.250 -1.036 7.579 O
0.000 0.000 5.834 O
1.036 4.323 -1.745 O
1.036 2.250 4.090 O
1.036 4.323 1.745 O
1.036 2.250 7.579 O
```



# ThGaRh4

An optimized crystal structure of ThGaRh4 (PBE, Alexandria).

Values from the calculation:
Total magnetization, μB/f.u.: 0.00
SG: F-43m, No. 216
Energy above the most stable polymorph in this dataset, meV per atom: 36
DFT total energy, eV per cell: -42.99
Calculated formation energy, eV per atom: -0.52
V, Å³/f.u.: 105.3

Cell and atoms, written as POSCAR:
```
ThGaRh4
1.0
0.000 3.748 3.748
3.748 0.000 3.748
3.748 3.748 0.000
Th Ga Rh
1 1 4
Cartesian
0.000 0.000 0.000 Th
5.622 5.622 5.622 Ga
2.821 2.821 2.821 Rh
4.675 4.675 2.821 Rh
4.675 2.821 4.675 Rh
2.821 4.675 4.675 Rh
```



# KSrTl2Cu

An optimized crystal structure of KSrTl2Cu (PBE, Alexandria).

Values from the calculation:
Total magnetization, μB/f.u.: 0.00
SG: P4/mmm, No. 123
Energy above the most stable polymorph in this dataset, meV per atom: 518
DFT total energy, eV per cell: -6.78
Calculated formation energy, eV per atom: 0.97
V, Å³/f.u.: 241.0

Cell and atoms, written as POSCAR:
```
KSrTl2Cu
1.0
6.009 0.000 0.000
0.000 6.009 0.000
0.000 0.000 6.675
K Sr Tl Cu
1 1 2 1
Cartesian
0.000 0.000 0.000 K
0.000 0.000 3.337 Sr
0.000 3.004 0.000 Tl
3.004 0.000 0.000 Tl
3.004 3.004 3.337 Cu
```



# Sn3GePt

An optimized crystal structure of Sn3GePt (PBE, Alexandria).

Values from the calculation:
Total magnetization, μB/f.u.: 0.00
SG: Pm-3m, No. 221
Energy above the most stable polymorph in this dataset, meV per atom: 0
DFT total energy, eV per cell: -21.44
Calculated formation energy, eV per atom: 0.25
V, Å³/f.u.: 142.9

Cell and atoms, written as POSCAR:
```
Sn3GePt
1.0
5.228 0.000 0.000
0.000 5.228 0.000
0.000 0.000 5.228
Sn Ge Pt
3 1 1
Cartesian
0.000 0.000 2.614 Sn
0.000 2.614 0.000 Sn
2.614 0.000 0.000 Sn
2.614 2.614 2.614 Ge
0.000 0.000 0.000 Pt
```